No. 1
## CdGeMo3 (PBE)

Data for crystalline CdGeMo3 at its relaxed geometry.

Cell: 4.645 4.645 4.645 Å, 90.00 90.00 90.00°
Space group Pm-3m (No. 221)
Symmetry-distinct sites (fractional):
Cd 0.000 0.000 0.000 (multiplicity 1)
Ge 0.500 0.500 0.500 (multiplicity 1)
Mo 0.000 0.500 0.500 (multiplicity 3)


No. 2
## Cd2Ge2Mo (PBE)

Data for crystalline Cd2Ge2Mo at its relaxed geometry.

Cell: 6.860 6.860 4.070 Å, 90.00 90.00 90.00°
Space group P4/mbm (No. 127)
Symmetry-distinct sites (fractional):
Cd 0.162 0.338 0.000 (multiplicity 4)
Ge 0.148 0.648 0.500 (multiplicity 4)
Mo 0.000 0.000 0.500 (multiplicity 2)


No. 3
## NbCdGe2Mo (PBE)

Data for crystalline NbCdGe2Mo at its relaxed geometry.

Cell: 4.858 4.858 5.196 Å, 90.00 90.00 90.00°
Space group P4/mmm (No. 123)
Symmetry-distinct sites (fractional):
Nb 0.000 0.000 0.000 (multiplicity 1)
Cd 0.500 0.500 0.500 (multiplicity 1)
Ge 0.000 0.500 0.500 (multiplicity 2)
Mo 0.500 0.500 0.000 (multiplicity 1)


| no. | total DFT energy (no corrections) (eV per atom) | energy relative to the elements (eV per atom) |
| --- | --- | --- |
| 1 | -6.349 | 1.257 |
| 2 | -4.046 | 0.334 |
| 3 | -4.415 | 1.795 |